Record 1
The following is a DFT calculation (meta-GGA SCAN) of a crystal of KMnRh2 relaxed with PBEsol.

The structure in POSCAR format:
```
KMnRh2
1.0
2.7677 0.0000 0.0000
-1.3839 4.0726 -0.0835
0.0000 -0.5979 6.9199
K Mn Rh
1 1 2
direct
0.0000 0.0000 0.5000
0.5000 0.0000 0.0000
0.7722 0.5444 0.8450
0.2278 0.4556 0.1550
```

Summary:
offset from the most stable computed form	0.00	eV/f.u.
D(E_F)	2.760	states/eV/cell
DFT formation energy	0.25	eV per atom
magnetization	4.42	μB/f.u.

Record 2
The following is a DFT calculation (meta-GGA SCAN) of a crystal of Zr2ZnRe relaxed with PBEsol.

The structure in POSCAR format:
```
Zr2ZnRe
1.0
-1.5482 0.3556 2.3471
-1.7020 -0.2556 -2.2516
-0.2485 -9.2629 1.2395
Re Zn Zr
1 1 2
direct
0.0000 0.0000 0.4890
0.5000 0.5000 0.2702
0.0000 0.0000 0.0175
0.5000 0.5000 0.7232
```

Summary:
D(E_F)	3.632	states/eV/cell
DFT formation energy	0.13	eV per atom
magnetization	0.00	μB/f.u.

Record 3
The following is a DFT calculation (meta-GGA SCAN) of a crystal of CaLa2Ru relaxed with PBEsol.

The structure in POSCAR format:
```
CaLa2Ru
1.0
3.8029 0.0000 0.0000
0.0000 5.8751 0.0000
-1.9015 -2.9376 5.1727
Ru Ca La
1 1 2
direct
0.0000 0.5000 0.0000
0.5000 0.0000 0.0000
0.6842 0.6842 0.3684
0.3158 0.3158 0.6316
```

Summary:
offset from the most stable computed form	0.08	eV/f.u.
D(E_F)	3.161	states/eV/cell
DFT formation energy	-0.15	eV per atom
magnetization	0.01	μB/f.u.

Record 4
The following is a DFT calculation (meta-GGA SCAN) of a crystal of Si2Sb3 relaxed with PBEsol.

The structure in POSCAR format:
```
Si2Sb3
1.0
-1.6974 6.1000 0.8143
-6.6348 1.4256 0.5142
1.1640 -3.7730 5.6661
Sb Si
6 4
direct
0.7690 0.8906 0.3138
0.3457 0.1094 0.6862
0.7051 0.3906 0.1862
0.9095 0.6094 0.8138
0.0626 0.0000 0.0000
0.3126 0.5000 0.5000
0.3185 0.2866 0.1009
0.5042 0.7134 0.8991
0.4676 0.7866 0.3991
0.8551 0.2134 0.6009
```

Summary:
raw total energy	-1.9077	Ry per atom
D(E_F)	4.247	states/eV/cell
magnetization	0.00	μB/f.u.

Record 5
The following is a DFT calculation (meta-GGA SCAN) of a crystal of La2InCl relaxed with PBEsol.

The structure in POSCAR format:
```
La2InCl
1.0
-3.5321 -1.0309 1.8456
-2.8694 -2.1000 -2.0739
1.0687 -7.7647 2.2987
Cl In La
1 1 2
direct
0.5000 0.5000 0.5000
0.0000 0.0000 0.0000
0.2376 0.2376 0.2872
0.7624 0.7624 0.7128
```

Summary:
offset from the most stable computed form	0.18	eV/f.u.
D(E_F)	2.590	states/eV/cell
magnetization	0.00	μB/f.u.

Record 6
The following is a DFT calculation (meta-GGA SCAN) of a crystal of Tm4CdS7 relaxed with PBEsol.

The structure in POSCAR format:
```
Tm4CdS7
1.0
-3.3394 1.5345 0.6339
1.8590 -2.7708 5.5304
4.7661 10.2986 0.1782
Tm Cd S
4 1 7
direct
0.2980 0.5960 0.1887
0.6849 0.3699 0.7904
0.9925 0.9850 0.0018
0.8895 0.7790 0.5726
0.1175 0.2349 0.4186
0.2657 0.5314 0.6471
0.7476 0.4952 0.3489
0.6536 0.3071 0.0463
0.3327 0.6653 0.9450
0.9580 0.9160 0.2184
0.0348 0.0696 0.7887
0.5252 0.0505 0.5336
```

Summary:
raw total energy	-2.0192	Ry per atom
D(E_F)	0.000	states/eV/cell
magnetization	0.00	μB/f.u.

Record 7
The following is a DFT calculation (meta-GGA SCAN) of a crystal of AlAgOs4 relaxed with PBEsol.

The structure in POSCAR format:
```
AlAgOs4
1.0
5.1187 0.0000 0.0000
2.5593 4.4329 0.0000
2.5593 1.4776 4.1794
Ag Al Os
1 1 4
direct
0.7500 0.7500 0.7500
0.0000 0.0000 0.0000
0.3749 0.3749 0.3749
0.3749 0.3749 0.8752
0.8752 0.3749 0.3749
0.3749 0.8752 0.3749
```

Summary:
D(E_F)	7.708	states/eV/cell
DFT formation energy	0.68	eV per atom
magnetization	0.01	μB/f.u.

Record 8
The following is a DFT calculation (meta-GGA SCAN) of a crystal of Ba2AgPd2 relaxed with PBEsol.

The structure in POSCAR format:
```
Ba2AgPd2
1.0
-0.7191 4.2753 -1.1227
-6.7490 -1.9426 -3.0745
-3.4221 1.1983 6.7549
Pd Ba Ag
4 4 2
direct
0.0000 0.3738 0.8738
0.0000 0.8738 0.6262
0.0000 0.6262 0.1262
0.0000 0.1262 0.3738
0.5000 0.1777 0.6777
0.5000 0.6777 0.8223
0.5000 0.8223 0.3223
0.5000 0.3223 0.1777
0.0000 0.0000 0.0000
0.0000 0.5000 0.5000
```

Summary:
offset from the most stable computed form	0.00	eV/f.u.
D(E_F)	5.340	states/eV/cell
DFT formation energy	-0.37	eV per atom
magnetization	0.00	μB/f.u.

Record 9
The following is a DFT calculation (meta-GGA SCAN) of a crystal of Ni3PCl relaxed with PBEsol.

The structure in POSCAR format:
```
Ni3PCl
1.0
-3.4062 1.6526 1.6017
-0.5726 -3.3796 2.2691
2.2290 1.6571 3.0306
Ni P Cl
3 1 1
direct
0.0000 0.5000 0.0000
0.0000 0.0000 0.5000
0.5000 0.0000 0.0000
0.5000 0.5000 0.5000
0.0000 0.0000 0.0000
```

Summary:
raw total energy	-0.9236	Ry per atom
D(E_F)	3.913	states/eV/cell
magnetization	0.00	μB/f.u.

Record 10
The following is a DFT calculation (meta-GGA SCAN) of a crystal of MgCoAu2 relaxed with PBEsol.

The structure in POSCAR format:
```
MgCoAu2
1.0
2.9676 0.0000 0.0000
0.0000 4.6085 -0.0369
-1.4838 -1.0624 4.4976
Au Co Mg
2 1 1
direct
0.9979 0.9777 0.9958
0.7584 0.2854 0.5169
0.4983 0.4726 0.9967
0.2453 0.7644 0.4906
```

Summary:
D(E_F)	1.529	states/eV/cell
DFT formation energy	-0.26	eV per atom
magnetization	1.87	μB/f.u.

Record 11
The following is a DFT calculation (meta-GGA SCAN) of a crystal of LiTbW2O8 relaxed with PBEsol.

The structure in POSCAR format:
```
LiTbW2O8
1.0
-2.5302 -3.4784 -2.8101
4.4527 -1.6629 -1.9508
-0.5239 -1.0412 6.4575
Li Tb W O
1 1 2 8
direct
0.0000 0.0000 0.0000
0.2500 0.7500 0.5000
0.5000 0.5000 0.0000
0.7500 0.2500 0.5000
0.5712 0.1657 0.8175
0.2463 0.6518 0.8175
0.9075 0.3281 0.3234
0.4159 0.9953 0.3234
0.6719 0.5841 0.6766
0.0047 0.0925 0.6766
0.3482 0.4288 0.1825
0.8343 0.7537 0.1825
```

Summary:
offset from the most stable computed form	0.16	eV/f.u.
D(E_F)	0.000	states/eV/cell
magnetization	0.00	μB/f.u.

Record 12
The following is a DFT calculation (meta-GGA SCAN) of a crystal of Li3InH relaxed with PBEsol.

The structure in POSCAR format:
```
Li3InH
1.0
-0.6635 4.0000 -0.6045
-1.2259 -0.7825 -3.8328
-3.8552 -0.4395 1.3228
H In Li
1 1 3
direct
0.0000 0.0000 0.0000
0.5000 0.5000 0.5000
0.0000 0.5000 0.0000
0.0000 0.0000 0.5000
0.5000 0.0000 0.0000
```

Summary:
raw total energy	-0.6696	Ry per atom
D(E_F)	1.887	states/eV/cell
magnetization	0.00	μB/f.u.